First-principles (GGA-PBEsol) data for AlTl2As after structural relaxation, as listed in the Alexandria database.

Values from the calculation:
ρ	8.45	g/cm3
DFT formation energy	-0.037	eV per atom
symmetry	R3m (160)
density of states at the Fermi level	1.4	states/eV/f.u.
M_tot	0.000	μB/f.u.

Cell: 7.977 7.977 7.977 Å, 28.23 28.23 28.23°
Element x y z (fractional)
Al 0.000 0.000 0.000
Tl 0.244 0.244 0.244
Tl 0.471 0.471 0.471
As 0.712 0.712 0.712